First-principles (PBE) data for a relaxed structure of Nb2GaGe2, as listed in OQMD.

Size of the total moment in μB per cell: 1.03
DFT total energy in eV/atom: -6.55
Calculated density in g/cm3: 7.5

CIF file:
```
data_Nb2GaGe2
_chemical_formula_sum 'Nb4 Ga2 Ge4'
_cell_length_a 3.585
_cell_length_b 3.585
_cell_length_c 13.797
_cell_angle_alpha 90.00
_cell_angle_beta 90.00
_cell_angle_gamma 90.00
_space_group_name_H-M_alt 'I 4/m m m'
_space_group_IT_number 139
_space_group_name_Hall '-I 4 2'
loop_
_atom_site_label
_atom_site_type_symbol
_atom_site_fract_x
_atom_site_fract_y
_atom_site_fract_z
Nb1 Nb 0.000 0.000 0.100
Ga1 Ga 0.000 0.000 0.500
Ge1 Ge 0.000 0.500 0.250
```